Computed, not measured: a relaxed structure of SrMn2TcCl at the PBE level of DFT.

a = 5.9760 Å, b = 5.2816 Å, c = 5.9760 Å
α = 90.00°, β = 90.00°, γ = 90.00°
With the nearest neighbours (Å) after each atom.
Positions (direct):
Cl 0.0000 0.5000 0.0000  2 Sr 2.64
Mn 0.5000 0.0000 0.0000  2 Sr 2.99
Mn 0.0000 0.0000 0.5000  2 Sr 2.99
Sr 0.0000 0.0000 0.0000  2 Cl 2.64
Tc 0.5000 0.5000 0.5000  8 Mn 3.99, 4 Cl 4.23

Calculated values
D(E_F): 9.4 states/eV/cell
SG: P4/mmm
Electronic total energy: -4.720 eV/atom
Uncorrected formation energy: 1.727 eV/atom
Crystal system: tetragonal